This record from Alexandria describes an optimized crystal structure of SnPOsO2. The functional is PBE.

Summary:
total moment: 2.32 μB per cell
uncorrected formation energy: 43.8 kJ/mol of atoms
space-group type: P4/mmm (123)
mass density: 6.85 g/cm3

abc: 3.7742 3.7742 6.3282
angles: 90.00 90.00 90.00
Last column: nearest neighbours and their distance in Å.
Atoms (fractional coordinates):
1 Os 0.5000 0.5000 0.5000  4 P 2.67
2 O 0.0000 0.5000 0.0000  2 Sn 1.89
3 Sn 0.0000 0.0000 0.0000  4 O 1.89
4 O 0.5000 0.0000 0.0000  2 Sn 1.89
5 P 0.0000 0.0000 0.5000  4 Os 2.67